No. 1
Material: HgWAu
Method: DFT, PBE-GGA
State: optimized geometry

Lattice parameters (Å, degrees): 4.4541 4.4541 4.4541 60.00 60.00 60.00
Atoms (fractional coordinates):
1 Hg 0.2500 0.2500 0.2500
2 Au 0.0000 0.0000 0.0000
3 W 0.7500 0.7500 0.7500

Summary:
Space-group type: No. 216
Distance to the lowest polymorph of the same formula in kJ/mol of atoms: 0.00
ΔH_f (0 K) in eV per formula unit: 3.4

---

No. 2
Material: CoTc2Sn
Method: DFT, PBE-GGA
State: optimized geometry

Lattice parameters (Å, degrees): 4.4090 4.4090 4.4090 60.00 60.00 60.00
Each line ends with the local moment (μB).
Atoms (fractional coordinates):
1 Sn 0.5000 0.5000 0.5000  -0.01
2 Co 0.2500 0.2500 0.2500  1.46
3 Tc 0.0000 0.0000 0.0000  1.06
4 Tc 0.7500 0.7500 0.7500  0.05

Summary:
Space-group type: No. 216
DFT total energy in eV per atom: -7.755

---

No. 3
Material: Al2ZnGa
Method: DFT, PBE-GGA
State: optimized geometry

Lattice parameters (Å, degrees): 4.6073 4.6073 4.6073 60.00 60.00 60.00
Atoms (fractional coordinates):
1 Al 0.0000 0.0000 0.0000
2 Al 0.7500 0.7500 0.7500
3 Ga 0.5000 0.5000 0.5000
4 Zn 0.2500 0.2500 0.2500

Summary:
Space-group type: No. 216
DFT total energy in eV per atom: -2.823

---

No. 4
Material: SrDyCuS3
Method: DFT, PBE-GGA
State: optimized geometry

Lattice parameters (Å, degrees): 8.9641 8.9641 8.0150 102.54 102.54 25.41
Atoms (fractional coordinates):
1 Dy 0.8380 0.8380 0.9171
2 Sr 0.8721 0.8721 0.4289
3 S 0.0000 0.0000 0.0000
4 S 0.5000 0.5000 0.5000
5 Cu 0.5345 0.5345 0.2111
6 S 0.3292 0.3292 0.6809
7 S 0.6708 0.6708 0.3191
8 Dy 0.1620 0.1620 0.0829
9 Cu 0.4655 0.4655 0.7889
10 Sr 0.1279 0.1279 0.5711
11 S 0.6759 0.6759 0.8561
12 S 0.3241 0.3241 0.1439

Summary:
Space-group type: No. 12
DFT total energy in eV per atom: -5.336

---

No. 5
Material: SrZn2Ir2
Method: DFT, PBE-GGA
State: optimized geometry

Lattice parameters (Å, degrees): 4.3608 4.3608 5.9993 111.31 111.31 90.00
Atoms (fractional coordinates):
1 Ir 0.3822 0.3822 0.7645
2 Zn 0.2500 0.7500 0.5000
3 Ir 0.6178 0.6178 0.2355
4 Sr 0.0000 0.0000 0.0000
5 Zn 0.7500 0.2500 0.5000

Summary:
Space-group type: No. 139
DFT total energy in eV per atom: -4.644

---

No. 6
Material: RbAcGd
Method: DFT, PBE-GGA
State: optimized geometry

Lattice parameters (Å, degrees): 6.2413 6.2413 6.2413 60.00 60.00 60.00
Each line ends with the local moment (μB).
Atoms (fractional coordinates):
1 Rb 0.7500 0.7500 0.7500  0.02
2 Gd 0.0000 0.0000 0.0000  0.39
3 Ac 0.2500 0.2500 0.2500  0.16

Summary:
Space-group type: No. 216
DFT total energy in eV per atom: -2.179

---

No. 7
Material: PmHfCu
Method: DFT, PBE-GGA
State: optimized geometry

Lattice parameters (Å, degrees): 4.6892 4.6892 4.6892 60.00 60.00 60.00
Each line ends with the local moment (μB).
Atoms (fractional coordinates):
1 Hf 0.2500 0.2500 0.2500  0.33
2 Pm 0.7500 0.7500 0.7500  0.15
3 Cu 0.0000 0.0000 0.0000  0.05

Summary:
Space-group type: No. 216
ΔH_f (0 K) in eV per formula unit: 1.1

---

No. 8
Material: TaGaNiAg
Method: DFT, PBE-GGA
State: optimized geometry

Lattice parameters (Å, degrees): 4.4315 4.4315 4.4315 60.00 60.00 60.00
Atoms (fractional coordinates):
1 Ni 0.7500 0.7500 0.7500
2 Ta 0.2500 0.2500 0.2500
3 Ga 0.0000 0.0000 0.0000
4 Ag 0.5000 0.5000 0.5000

Summary:
Space-group type: No. 216
DFT total energy in eV per atom: -5.628

---

No. 9
Material: BeGaNiPd
Method: DFT, PBE-GGA
State: optimized geometry

Lattice parameters (Å, degrees): 4.1147 4.1147 4.1147 60.00 60.00 60.00
Atoms (fractional coordinates):
1 Ni 0.7500 0.7500 0.7500
2 Be 0.2500 0.2500 0.2500
3 Ga 0.0000 0.0000 0.0000
4 Pd 0.5000 0.5000 0.5000

Summary:
Space-group type: No. 216
Distance to the lowest polymorph of the same formula in kJ/mol of atoms: 16.33

---

No. 10
Material: HoCu
Method: DFT, PBE-GGA
State: optimized geometry

Lattice parameters (Å, degrees): 3.4188 3.4187 4.1693 90.00 90.00 120.00
Atoms (fractional coordinates):
1 Cu 0.6667 0.3333 0.7500
2 Ho 0.3333 0.6667 0.2500

Summary:
Space-group type: No. 187
ΔH_f (0 K) in eV per formula unit: 0.1

---

No. 11
Material: DyTlHgS3
Method: DFT, PBE-GGA
State: optimized geometry

Lattice parameters (Å, degrees): 7.7442 7.7442 10.7247 90.00 90.00 149.15
Atoms (fractional coordinates):
1 S 0.9528 0.0472 0.2500
2 S 0.6236 0.3764 0.0290
3 Dy 0.0000 0.0000 0.5000
4 S 0.0472 0.9528 0.7500
5 S 0.3764 0.6236 0.9710
6 Dy 0.0000 0.0000 0.0000
7 S 0.3764 0.6236 0.5290
8 Hg 0.4044 0.5956 0.7500
9 Tl 0.3033 0.6967 0.2500
10 Tl 0.6967 0.3033 0.7500
11 S 0.6236 0.3764 0.4710
12 Hg 0.5956 0.4044 0.2500

Summary:
Space-group type: No. 63
Distance to the lowest polymorph of the same formula in kJ/mol of atoms: 0.00

---

No. 12
Material: K2Re2Pb2O7
Method: DFT, PBE-GGA
State: optimized geometry

Lattice parameters (Å, degrees): 5.9890 5.9902 6.9995 90.01 90.00 119.96
Atoms (fractional coordinates):
1 Pb 0.6669 0.3332 0.4348
2 O 0.8868 0.6523 0.2007
3 O 0.2345 0.8871 0.7993
4 O 0.0000 0.0000 0.5000
5 Re 0.0008 0.0000 0.7804
6 O 0.7655 0.1129 0.2007
7 K 0.3334 0.6667 0.0868
8 O 0.1132 0.3477 0.7993
9 O 0.3476 0.2346 0.2008
10 K 0.6666 0.3333 0.9132
11 O 0.6524 0.7654 0.7992
12 Re 0.9992 0.0000 0.2196
13 Pb 0.3331 0.6668 0.5652

Summary:
Space-group type: No. 147
DFT total energy in eV per atom: -6.520